Entry 1:
First-principles (PBE with a Hubbard U) data for an optimized crystal structure of InMoNO2, as listed in the Alexandria database.

Output
calculated total energy: -6.18 eV/atom
theoretical density: 6.5 g/cm³

Lattice parameters (Å, degrees): 3.925 3.925 4.276 90.00 90.00 90.00
Fractional positions:
Mo (0.000, 0.000, 0.000)
N (0.000, 0.000, 0.500)
O (0.000, 0.500, 0.000)
O (0.500, 0.000, 0.000)
In (0.500, 0.500, 0.500)

Entry 2:
First-principles (PBE with a Hubbard U) data for an optimized crystal structure of InMoN2O, as listed in the Alexandria database.

Output
calculated total energy: -5.10 eV/atom
theoretical density: 5.8 g/cm³

Lattice parameters (Å, degrees): 4.195 4.195 4.178 90.00 90.00 90.00
Fractional positions:
Mo (0.500, 0.500, 0.500)
N (0.000, 0.500, 0.000)
N (0.500, 0.000, 0.000)
O (0.000, 0.000, 0.500)
In (0.000, 0.000, 0.000)

Entry 3:
First-principles (PBE with a Hubbard U) data for an optimized crystal structure of InMoN2O, as listed in the Alexandria database.

Output
calculated total energy: -6.17 eV/atom
theoretical density: 6.4 g/cm³

Lattice parameters (Å, degrees): 4.139 4.139 3.874 90.00 90.00 90.00
Fractional positions:
Mo (0.000, 0.000, 0.000)
N (0.000, 0.500, 0.000)
N (0.500, 0.000, 0.000)
O (0.000, 0.000, 0.500)
In (0.500, 0.500, 0.500)